Computed, not measured: Nd2HoNpN4 after structural relaxation at the PBE level of DFT.

Lattice parameters (Å, degrees): 6.064 3.533 6.143 90.00 108.79 90.00
Space group P2/m (No. 10)
Asymmetric unit:
Nd1 0.000 0.000 0.000 (multiplicity 1)
Nd2 0.500 0.500 0.000 (multiplicity 1)
Ho1 0.000 0.500 0.500 (multiplicity 1)
Np1 0.500 0.000 0.500 (multiplicity 1)
N1 0.258 0.000 0.720 (multiplicity 2)
N2 0.266 0.500 0.279 (multiplicity 2)

- E_form (uncorrected): -1412 meV per atom

---

Computed, not measured: Pm2NdHoN4 after structural relaxation at the PBE level of DFT.

Lattice parameters (Å, degrees): 6.207 3.586 6.209 90.00 109.41 90.00
Space group P2/m (No. 10)
Asymmetric unit:
Pm1 0.000 0.000 0.000 (multiplicity 1)
Pm2 0.000 0.500 0.500 (multiplicity 1)
Nd1 0.500 0.000 0.500 (multiplicity 1)
Ho1 0.500 0.500 0.000 (multiplicity 1)
N1 0.252 0.500 0.245 (multiplicity 2)
N2 0.256 0.000 0.757 (multiplicity 2)

- E_form (uncorrected): -1473 meV per atom

---

Computed, not measured: PmNdHoN3 after structural relaxation at the PBE level of DFT.

Lattice parameters (Å, degrees): 6.122 3.551 9.202 90.00 101.69 90.00
Space group P2_1/m (No. 11)
Asymmetric unit:
Pm1 0.231 0.250 0.453 (multiplicity 2)
Nd1 0.349 0.750 0.805 (multiplicity 2)
Ho1 0.148 0.750 0.138 (multiplicity 2)
N1 0.037 0.250 0.659 (multiplicity 2)
N2 0.244 0.250 0.010 (multiplicity 2)
N3 0.460 0.750 0.324 (multiplicity 2)

- E_form (uncorrected): -1356 meV per atom

---

Computed, not measured: PrNdHoN3 after structural relaxation at the PBE level of DFT.

Lattice parameters (Å, degrees): 6.160 3.581 9.259 90.00 101.78 90.00
Space group P2_1/m (No. 11)
Asymmetric unit:
Pr1 0.150 0.250 0.194 (multiplicity 2)
Nd1 0.269 0.750 0.548 (multiplicity 2)
Ho1 0.353 0.250 0.862 (multiplicity 2)
N1 0.041 0.250 0.677 (multiplicity 2)
N2 0.258 0.750 0.988 (multiplicity 2)
N3 0.462 0.750 0.340 (multiplicity 2)

- E_form (uncorrected): -1322 meV per atom